Computed, not measured: a geometry-optimized SrAg2Te2 structure at the PBE level of DFT.

Cell: 5.5458 5.5458 9.4319 Å, 90.00 90.00 90.00°
Last column: nearest neighbours and their distance in Å.
Space group I4/mmm (No. 139)
One atom of each set of equivalent atoms:
Sr  0.0000  0.0000  0.0000  2 Ag 3.30, 8 Te 3.64
Ag  0.0000  0.0000  0.3502  1 Ag 2.83, 4 Te 2.93
Te  0.0000  0.5000  0.2500  4 Ag 2.93

Its density of states at the Fermi level is 2.3 states/eV/f.u. The value obtained for the energy relative to the elements, uncorrected is -469.3 meV per atom. The crystal system is tetragonal.